{"formula": "Zn4CrTc", "functional": "GGA-PBE", "state": "optimized geometry", "dos_ef_per_ev_atom": 0.87, "ef_ev_per_atom": 0.14, "dft_energy_ev_per_atom": -4.043, "space_group": "F-43m", "lattice": [[0.000, 3.472, 3.472], [3.472, 0.000, 3.472], [3.472, 3.472, 0.000]], "species": ["Zn", "Zn", "Zn", "Zn", "Cr", "Tc"], "frac_coords": [[0.125, 0.125, 0.125], [0.125, 0.125, 0.624], [0.125, 0.624, 0.125], [0.624, 0.125, 0.125], [0.750, 0.750, 0.750], [0.500, 0.500, 0.500]]}